{
  "formula": "Mn2FeIr",
  "functional": "PBE",
  "state": "optimized geometry",
  "energy_ev_per_fu": -33.641,
  "e_form_ev_per_atom": 0.506,
  "de_polymorph_mev_per_atom": 634.2,
  "space_group": "I-42d",
  "lattice_angstrom": [[3.552, 0.000, 0.000], [0.000, 3.552, 0.000], [1.776, 1.776, 8.307]],
  "species": ["Ir", "Ir", "Fe", "Fe", "Mn", "Mn", "Mn", "Mn"],
  "fractional_positions": [[0.000, 0.000, 0.000], [0.750, 0.250, 0.500], [0.500, 0.500, 0.000], [0.250, 0.750, 0.500], [0.575, 0.125, 0.250], [0.175, 0.625, 0.250], [0.375, 0.425, 0.750], [0.875, 0.825, 0.750]]
}